The following is a DFT calculation (GGA-PBE) of MgAg2 after structural relaxation.

Computed properties:
The energy of formation from the pure elements is -0.17 eV per atom. Its uncorrected energy is -0.096 Ha/atom. As for the total magnetization: 0.00 μB per formula unit. Its crystal system is monoclinic. The value obtained for the excess energy over the best structure of this formula in the dataset is 0.029 eV/f.u.

Cell lengths 9.0169, 4.3120, 5.8055 Å; angles 90.00, 104.48, 90.00 degrees
Last column: nearest neighbours and their distance in Å.
Space group C2/m (No. 12)
Inequivalent atoms, fractional coordinates:
Mg1 0.1577 0.0000 0.3144 [4 per cell]  10 Ag 2.86-3.00
Ag1 0.0000 0.5000 0.0000 [2 per cell]  8 Ag 2.90-2.97, 4 Mg 2.95
Ag2 0.0000 0.5000 0.5000 [2 per cell]  6 Ag 2.90-3.01, 6 Mg 2.93-3.00
Ag3 0.1698 0.0000 0.8223 [4 per cell]  5 Mg 2.86-2.92, 7 Ag 2.90-3.08

The following is a DFT calculation (GGA-PBE) of Ac3GaPd8Pb2 after structural relaxation.

Computed properties:
The energy of formation from the pure elements is -0.60 eV per atom. Its uncorrected energy is -0.191 Ha/atom. As for the total magnetization: 0.00 μB per formula unit. Its crystal system is trigonal.

Cell lengths 5.7278, 5.7278, 10.9351 Å; angles 90.00, 90.00, 120.00 degrees
Last column: nearest neighbours and their distance in Å.
Space group P-3m1 (No. 164)
Inequivalent atoms, fractional coordinates:
Ac1 0.0000 0.0000 0.0000 [1 per cell]  6 Pb 3.51, 12 Pd 3.66-3.75
Ac2 0.3333 0.6667 0.5847 [2 per cell]  7 Pd 2.97-3.09
Ga1 0.0000 0.0000 0.5000 [1 per cell]  6 Pd 2.64
Pd1 0.1633 0.3267 0.3090 [6 per cell]  1 Ga 2.64, 1 Pb 2.77, 4 Pd 2.81-2.92
Pd2 0.3333 0.6667 0.8561 [2 per cell]  1 Pb 2.76, 1 Ac 2.97
Pb1 0.3333 0.6667 0.1080 [2 per cell]  4 Pd 2.76-2.77

Q: The highest energy of formation from the pure elements belongs to which entry?
A: MgAg2